(1)
# Tb2PmSi PBE relaxed
data_Tb2PmSi
_chemical_formula_sum 'Tb6 Pm3 Si3'
_space_group_name_H-M_alt 'R -3 m'
_space_group_IT_number 166
_space_group_name_Hall '-R 3 2"'
_cell_length_a 3.6028
_cell_length_b 3.6028
_cell_length_c 32.7842
_cell_angle_alpha 90.00
_cell_angle_beta 90.00
_cell_angle_gamma 120.00
loop_
_atom_site_label
_atom_site_fract_x
_atom_site_fract_y
_atom_site_fract_z
Tb1 0.0000 0.0000 0.1078
Pm1 0.0000 0.0000 0.0000
Si1 0.0000 0.0000 0.5000
# magnetic moment	0.0	μB per formula unit
# N(E_F)	5.22	states/eV/f.u.
# raw formation energy	-0.03	eV per formula unit
# energy above the lowest structure with this stoichiometry	266	meV per atom
# crystal system	trigonal

---

(2)
# Tb2PmSi PBE relaxed
data_Tb2PmSi
_chemical_formula_sum 'Tb2 Pm1 Si1'
_space_group_name_H-M_alt 'P 4/m m m'
_space_group_IT_number 123
_space_group_name_Hall '-P 4 2'
_cell_length_a 4.690
_cell_length_b 4.690
_cell_length_c 4.667
_cell_angle_alpha 90.00
_cell_angle_beta 90.00
_cell_angle_gamma 90.00
loop_
_atom_site_label
_atom_site_fract_x
_atom_site_fract_y
_atom_site_fract_z
Tb1 0.000 0.500 0.000
Pm1 0.000 0.000 0.500
Si1 0.500 0.500 0.500
# magnetic moment	0.0	μB per formula unit
# N(E_F)	4.06	states/eV/f.u.
# raw formation energy	-1.02	eV per formula unit
# energy above the lowest structure with this stoichiometry	17	meV per atom
# crystal system	tetragonal

---

(3)
# TbPmZnSi PBE relaxed
data_TbPmZnSi
_chemical_formula_sum 'Tb4 Pm4 Zn4 Si4'
_space_group_name_H-M_alt 'F -4 3 m'
_space_group_IT_number 216
_space_group_name_Hall 'F -4 2 3'
_cell_length_a 7.150
_cell_length_b 7.150
_cell_length_c 7.150
_cell_angle_alpha 90.00
_cell_angle_beta 90.00
_cell_angle_gamma 90.00
loop_
_atom_site_label
_atom_site_fract_x
_atom_site_fract_y
_atom_site_fract_z
Tb1 0.000 0.000 0.000
Pm1 0.000 0.000 0.500
Zn1 0.250 0.250 0.750
Si1 0.250 0.250 0.250
# magnetic moment	0.0	μB per formula unit
# N(E_F)	2.08	states/eV/f.u.
# raw formation energy	-1.80	eV per formula unit
# energy above the lowest structure with this stoichiometry	94	meV per atom
# crystal system	cubic

---

(4)
# TbPmZnSi PBE relaxed
data_TbPmZnSi
_chemical_formula_sum 'Tb2 Pm2 Zn2 Si2'
_space_group_name_H-M_alt 'A m m 2'
_space_group_IT_number 38
_cell_length_a 4.090
_cell_length_b 4.242
_cell_length_c 11.054
_cell_angle_alpha 90.00
_cell_angle_beta 90.00
_cell_angle_gamma 90.00
loop_
_space_group_symop_operation_xyz
'x,y,z'
'-x,-y,z'
'-x,y,z'
'x,-y,z'
'x,y+1/2,z+1/2'
'-x,-y+1/2,z+1/2'
'-x,y+1/2,z+1/2'
'x,-y+1/2,z+1/2'
loop_
_atom_site_label
_atom_site_fract_x
_atom_site_fract_y
_atom_site_fract_z
Tb1 0.000 0.000 0.000
Pm1 0.500 0.000 0.285
Zn1 0.000 0.000 0.706
Si1 0.500 0.000 0.567
# magnetic moment	0.3	μB per formula unit
# N(E_F)	4.22	states/eV/f.u.
# raw formation energy	-2.18	eV per formula unit
# energy above the lowest structure with this stoichiometry	0	meV per atom
# crystal system	orthorhombic

---

(5)
# Pm2Si7Tc12 PBE relaxed
data_Pm2Si7Tc12
_chemical_formula_sum 'Pm2 Si7 Tc12'
_space_group_name_H-M_alt 'P -6'
_space_group_IT_number 174
_cell_length_a 9.6726
_cell_length_b 9.6726
_cell_length_c 4.0815
_cell_angle_alpha 90.00
_cell_angle_beta 90.00
_cell_angle_gamma 120.00
loop_
_space_group_symop_operation_xyz
'x,y,z'
'-x+y,-x,-z'
'-y,x-y,z'
'x,y,-z'
'-x+y,-x,z'
'-y,x-y,-z'
loop_
_atom_site_label
_atom_site_fract_x
_atom_site_fract_y
_atom_site_fract_z
Pm1 0.0000 0.0000 0.0000
Pm2 0.3333 0.6667 0.5000
Si1 0.0551 0.5788 0.0000
Si2 0.2689 0.0641 0.5000
Si3 0.6667 0.3333 0.0000
Tc1 0.0720 0.7641 0.5000
Tc2 0.1131 0.3583 0.0000
Tc3 0.3848 0.2093 0.0000
Tc4 0.5546 0.1236 0.5000
# magnetic moment	0.0	μB per formula unit
# N(E_F)	18.45	states/eV/f.u.
# raw formation energy	-8.80	eV per formula unit
# crystal system	hexagonal

---

(6)
# PmSi4Tc PBE relaxed
data_PmSi4Tc
_chemical_formula_sum 'Pm2 Si8 Tc2'
_space_group_name_H-M_alt 'I m m m'
_space_group_IT_number 71
_space_group_name_Hall '-I 2 2'
_cell_length_a 3.222
_cell_length_b 6.664
_cell_length_c 9.869
_cell_angle_alpha 90.00
_cell_angle_beta 90.00
_cell_angle_gamma 90.00
loop_
_atom_site_label
_atom_site_fract_x
_atom_site_fract_y
_atom_site_fract_z
Pm1 0.000 0.000 0.000
Si1 0.000 0.179 0.339
Tc1 0.000 0.500 0.000
# magnetic moment	0.0	μB per formula unit
# N(E_F)	3.62	states/eV/f.u.
# raw formation energy	-0.88	eV per formula unit
# crystal system	orthorhombic